Entry 1:
CaPrSi2Pd2 | PBE | relaxed

Computed properties:
formation energy without anion corrections	-0.798	eV/atom
crystal system	trigonal
Fermi-level density of states	0.60	states/eV per atom

a b c (Å): 4.1758 4.1758 8.6103
angles (deg): 90.00 90.00 120.00
Space group P-3m1 (No. 164)
Symmetry-distinct sites (fractional):
1 Ca 0.0000 0.0000 0.0000
2 Pr 0.0000 0.0000 0.5000
3 Si 0.3333 0.6667 0.7427
4 Pd 0.3333 0.6667 0.2400

***

Entry 2:
CaPrSnPd | PBE | relaxed

Computed properties:
formation enthalpy at 0 K	-0.679	eV per atom
crystal system	cubic
Fermi-level density of states	0.59	states/eV per atom

a b c (Å): 7.4882 7.4882 7.4882
angles (deg): 90.00 90.00 90.00
Space group F-43m (No. 216)
Symmetry-distinct sites (fractional):
1 Ca 0.0000 0.0000 0.0000
2 Pr 0.0000 0.0000 0.5000
3 Sn 0.2500 0.2500 0.7500
4 Pd 0.2500 0.2500 0.2500

***

Entry 3:
CaPrTlPd | PBE | relaxed

Computed properties:
formation enthalpy at 0 K	-0.501	eV per atom
crystal system	cubic
Fermi-level density of states	0.76	states/eV per atom

a b c (Å): 7.5117 7.5117 7.5117
angles (deg): 90.00 90.00 90.00
Space group F-43m (No. 216)
Symmetry-distinct sites (fractional):
1 Ca 0.0000 0.0000 0.0000
2 Pr 0.0000 0.0000 0.5000
3 Tl 0.2500 0.2500 0.2500
4 Pd 0.2500 0.2500 0.7500

***

Entry 4:
CaPrTm2Pd4 | PBE | relaxed

Computed properties:
formation enthalpy at 0 K	-0.804	eV per atom
crystal system	trigonal
Fermi-level density of states	0.52	states/eV per atom

a b c (Å): 4.9921 4.9921 24.3530
angles (deg): 90.00 90.00 120.00
Space group R-3m (No. 166, hexagonal axes)
Symmetry-distinct sites (fractional):
1 Ca 0.0000 0.0000 0.0000
2 Pr 0.0000 0.0000 0.5000
3 Tm 0.0000 0.0000 0.2529
4 Pd 0.0000 0.0000 0.1259
5 Pd 0.0000 0.0000 0.3759

***

Entry 5:
CaPr2Zn2Pd5 | PBE | relaxed

Computed properties:
formation enthalpy at 0 K	-0.647	eV per atom
crystal system	tetragonal
Fermi-level density of states	0.60	states/eV per atom

a b c (Å): 10.1333 10.1333 3.9221
angles (deg): 90.00 90.00 90.00
Space group P4/mbm (No. 127)
Symmetry-distinct sites (fractional):
1 Ca 0.0000 0.0000 0.0000
2 Pr 0.1795 0.3205 0.0000
3 Zn 0.1149 0.6149 0.0000
4 Pd 0.0000 0.5000 0.5000
5 Pd 0.0697 0.7800 0.5000

***

Entry 6:
CaPrZn2Pd2 | PBE | relaxed

Computed properties:
formation enthalpy at 0 K	-0.614	eV per atom
crystal system	trigonal
Fermi-level density of states	0.66	states/eV per atom

a b c (Å): 4.4375 4.4375 7.7257
angles (deg): 90.00 90.00 120.00
Space group P-3m1 (No. 164)
Symmetry-distinct sites (fractional):
1 Ca 0.0000 0.0000 0.0000
2 Pr 0.0000 0.0000 0.5000
3 Zn 0.3333 0.6667 0.7556
4 Pd 0.3333 0.6667 0.2522

***

Entry 7:
Ca2Pr2ZnPd4 | PBE | relaxed

Computed properties:
formation enthalpy at 0 K	-0.384	eV per atom
crystal system	tetragonal
Fermi-level density of states	0.73	states/eV per atom

a b c (Å): 7.0461 7.0461 8.7229
angles (deg): 90.00 90.00 90.00
Space group I4/mmm (No. 139)
Symmetry-distinct sites (fractional):
1 Ca 0.0000 0.5000 0.2500
2 Pr 0.0000 0.0000 0.1868
3 Zn 0.0000 0.0000 0.5000
4 Pd 0.2470 0.2470 0.0000

***

Entry 8:
CaPr2Zn3Pd4 | PBE | relaxed

Computed properties:
formation enthalpy at 0 K	-0.592	eV per atom
crystal system	tetragonal
Fermi-level density of states	0.56	states/eV per atom

a b c (Å): 4.2163 4.2163 11.7497
angles (deg): 90.00 90.00 90.00
Space group P-4m2 (No. 115)
Symmetry-distinct sites (fractional):
1 Ca 0.0000 0.0000 0.0000
2 Pr 0.0000 0.5000 0.7258
3 Zn 0.0000 0.5000 0.3766
4 Zn 0.5000 0.5000 0.0000
5 Pd 0.0000 0.0000 0.5000
6 Pd 0.0000 0.5000 0.1609
7 Pd 0.5000 0.5000 0.5000

***

Entry 9:
CaPrZnPd | PBE | relaxed

Computed properties:
formation enthalpy at 0 K	-0.521	eV per atom
crystal system	orthorhombic
Fermi-level density of states	0.65	states/eV per atom

a b c (Å): 4.3678 4.1040 11.3741
angles (deg): 90.00 90.00 90.00
Space group Amm2 (No. 38)
Symmetry-distinct sites (fractional):
1 Ca 0.0000 0.0000 0.0000
2 Pr 0.5000 0.0000 0.7173
3 Zn 0.5000 0.0000 0.4287
4 Pd 0.0000 0.0000 0.2860

***

Entry 10:
CaPrZnPd | PBE | relaxed

Computed properties:
formation enthalpy at 0 K	-0.500	eV per atom
crystal system	cubic
Fermi-level density of states	0.47	states/eV per atom

a b c (Å): 7.2648 7.2648 7.2648
angles (deg): 90.00 90.00 90.00
Space group F-43m (No. 216)
Symmetry-distinct sites (fractional):
1 Ca 0.0000 0.0000 0.0000
2 Pr 0.0000 0.0000 0.5000
3 Zn 0.2500 0.2500 0.2500
4 Pd 0.2500 0.2500 0.7500

***

Entry 11:
Ca8Pd3Pt2 | PBE | relaxed

Computed properties:
formation enthalpy at 0 K	-0.676	eV per atom
crystal system	orthorhombic
Fermi-level density of states	0.32	states/eV per atom

a b c (Å): 9.9151 14.0418 4.9678
angles (deg): 90.00 90.00 90.00
Space group Cmmm (No. 65)
Symmetry-distinct sites (fractional):
1 Ca 0.0000 0.1260 0.0000
2 Ca 0.0000 0.3734 0.0000
3 Ca 0.2495 0.1260 0.5000
4 Pd 0.0000 0.5000 0.5000
5 Pd 0.2460 0.5000 0.0000
6 Pt 0.0000 0.2503 0.5000

***

Entry 12:
Ca6PdPt5 | PBE | relaxed

Computed properties:
formation enthalpy at 0 K	-0.845	eV per atom
crystal system	monoclinic
Fermi-level density of states	0.32	states/eV per atom

a b c (Å): 4.9106 7.0928 7.7399
angles (deg): 90.00 107.99 90.00
Space group P2/m (No. 10)
Symmetry-distinct sites (fractional):
1 Ca 0.0000 0.2463 0.0000
2 Ca 0.3311 0.2487 0.6635
3 Pd 0.5000 0.5000 0.0000
4 Pt 0.1654 0.5000 0.3283
5 Pt 0.1673 0.0000 0.3331
6 Pt 0.5000 0.0000 0.0000

***

Entry 13:
CaPdPt | PBE | relaxed

Computed properties:
formation enthalpy at 0 K	-0.610	eV per atom
crystal system	hexagonal
Fermi-level density of states	0.16	states/eV per atom

a b c (Å): 4.4003 4.4003 3.8608
angles (deg): 90.00 90.00 120.00
Space group P-6m2 (No. 187)
Symmetry-distinct sites (fractional):
1 Ca 0.0000 0.0000 0.0000
2 Pd 0.3333 0.6667 0.5000
3 Pt 0.6667 0.3333 0.5000

***

Entry 14:
Ca6Pd3Pt | PBE | relaxed

Computed properties:
formation enthalpy at 0 K	-0.619	eV per atom
crystal system	monoclinic
Fermi-level density of states	0.35	states/eV per atom

a b c (Å): 10.7657 4.2072 12.7384
angles (deg): 90.00 110.60 90.00
Space group P2_1/m (No. 11)
Symmetry-distinct sites (fractional):
1 Ca 0.0215 0.2500 0.3895
2 Ca 0.0775 0.2500 0.9097
3 Ca 0.2483 0.7500 0.3266
4 Ca 0.3473 0.7500 0.1067
5 Ca 0.3489 0.7500 0.7970
6 Ca 0.3992 0.2500 0.5687
7 Pd 0.1417 0.2500 0.1605
8 Pd 0.1988 0.7500 0.5356
9 Pd 0.4042 0.2500 0.9671
10 Pt 0.4212 0.2500 0.2948

***

Entry 15:
CaPd8Pt4 | PBE | relaxed

Computed properties:
formation enthalpy at 0 K	-0.203	eV per atom
crystal system	tetragonal
Fermi-level density of states	1.29	states/eV per atom

a b c (Å): 9.1350 9.1350 5.3031
angles (deg): 90.00 90.00 90.00
Space group I4/mmm (No. 139)
Symmetry-distinct sites (fractional):
1 Ca 0.0000 0.0000 0.0000
2 Pd 0.0000 0.2198 0.5000
3 Pd 0.0000 0.3486 0.0000
4 Pt 0.2500 0.2500 0.2500

***

Entry 16:
Ca8Pd5Pt | PBE | relaxed

Computed properties:
formation enthalpy at 0 K	-0.634	eV per atom
crystal system	tetragonal
Fermi-level density of states	0.36	states/eV per atom

a b c (Å): 8.8722 8.8722 8.8533
angles (deg): 90.00 90.00 90.00
Space group I-4 (No. 82)
Symmetry-distinct sites (fractional):
1 Ca 0.0661 0.3192 0.4483
2 Ca 0.0684 0.1838 0.8091
3 Pd 0.0000 0.0000 0.5000
4 Pd 0.1220 0.2506 0.1295
5 Pt 0.0000 0.5000 0.7500

***

Entry 17:
CaPdPt | PBE | relaxed

Computed properties:
formation enthalpy at 0 K	-0.830	eV per atom
crystal system	monoclinic
Fermi-level density of states	0.62	states/eV per atom

a b c (Å): 9.4472 5.4649 5.4405
angles (deg): 90.00 125.05 90.00
Space group C2/m (No. 12)
Symmetry-distinct sites (fractional):
1 Ca 0.1267 0.0000 0.3769
2 Pd 0.2500 0.2500 0.0000
3 Pt 0.0000 0.5000 0.0000
4 Pt 0.0000 0.5000 0.5000

***

Entry 18:
CaPd6Pt2 | PBE | relaxed

Computed properties:
formation enthalpy at 0 K	0.019	eV per atom
crystal system	hexagonal
Fermi-level density of states	1.22	states/eV per atom

a b c (Å): 5.4383 5.4383 6.9456
angles (deg): 90.00 90.00 120.00
Space group P6/mmm (No. 191)
Symmetry-distinct sites (fractional):
1 Ca 0.0000 0.0000 0.0000
2 Pd 0.0000 0.5000 0.1916
3 Pt 0.3333 0.6667 0.5000

***

Entry 19:
CaPd2Pt | PBE | relaxed

Computed properties:
formation enthalpy at 0 K	-0.532	eV per atom
crystal system	tetragonal
Fermi-level density of states	1.15	states/eV per atom

a b c (Å): 4.1708 4.1708 4.0163
angles (deg): 90.00 90.00 90.00
Space group P4/mmm (No. 123)
Symmetry-distinct sites (fractional):
1 Ca 0.0000 0.0000 0.0000
2 Pd 0.0000 0.5000 0.5000
3 Pt 0.5000 0.5000 0.0000

***

Entry 20:
CaPd2Pt | PBE | relaxed

Computed properties:
formation enthalpy at 0 K	-0.447	eV per atom
crystal system	cubic
Fermi-level density of states	0.01	states/eV per atom

a b c (Å): 6.5730 6.5730 6.5730
angles (deg): 90.00 90.00 90.00
Space group Fm-3m (No. 225)
Symmetry-distinct sites (fractional):
1 Ca 0.0000 0.0000 0.0000
2 Pd 0.2500 0.2500 0.2500
3 Pt 0.0000 0.0000 0.5000

***

Entry 21:
Ca6Pd2Pt | PBE | relaxed

Computed properties:
formation enthalpy at 0 K	-0.553	eV per atom
crystal system	orthorhombic
Fermi-level density of states	0.62	states/eV per atom

a b c (Å): 9.4736 9.9057 10.5832
angles (deg): 90.00 90.00 90.00
Space group Immm (No. 71)
Symmetry-distinct sites (fractional):
1 Ca 0.0000 0.1841 0.2492
2 Ca 0.1876 0.5000 0.1572
3 Ca 0.2231 0.3285 0.5000
4 Pd 0.0000 0.3127 0.0000
5 Pd 0.0000 0.5000 0.3700
6 Pt 0.0000 0.0000 0.0000
7 Pt 0.0000 0.0000 0.5000

***

Entry 22:
CaPd2Pt | PBE | relaxed

Computed properties:
formation enthalpy at 0 K	-0.062	eV per atom
crystal system	orthorhombic
Fermi-level density of states	1.02	states/eV per atom

a b c (Å): 5.5649 8.8834 7.9316
angles (deg): 90.00 90.00 90.00
Space group Pmma (No. 51)
Symmetry-distinct sites (fractional):
1 Ca 0.2500 0.0000 0.1666
2 Ca 0.2500 0.5000 0.3323
3 Pd 0.0000 0.0000 0.5000
4 Pd 0.0000 0.5000 0.0000
5 Pd 0.2500 0.2539 0.9130
6 Pt 0.2500 0.0000 0.7731
7 Pt 0.2500 0.5000 0.7025

***

Entry 23:
CaPdPt | PBE | relaxed

Computed properties:
formation enthalpy at 0 K	-0.721	eV per atom
crystal system	monoclinic
Fermi-level density of states	0.43	states/eV per atom

a b c (Å): 9.7682 4.4976 5.4949
angles (deg): 90.00 91.36 90.00
Space group Cm (No. 8)
Symmetry-distinct sites (fractional):
1 Ca 0.0000 0.0000 0.0000
2 Ca 0.0740 0.5000 0.4996
3 Pd 0.2798 0.0000 0.7481
4 Pd 0.3609 0.5000 0.4956
5 Pt 0.2144 0.5000 0.0071
6 Pt 0.2805 0.0000 0.2504

***

| no. | magnetic moment (μB per atom) | density (Mg/m³) |
| --- | --- | --- |
| 1 | 0.000 | 5.7 |
| 2 | 0.000 | 6.4 |
| 3 | 0.000 | 7.7 |
| 4 | 0.000 | 9.0 |
| 5 | 0.000 | 8.1 |
| 6 | 0.000 | 6.6 |
| 7 | 0.000 | 6.5 |
| 8 | 0.000 | 7.5 |
| 9 | 0.000 | 5.7 |
| 10 | 0.000 | 6.1 |
| 11 | 0.000 | 4.9 |
| 12 | 0.000 | 8.6 |
| 13 | 0.000 | 8.8 |
| 14 | 0.000 | 4.6 |
| 15 | 0.000 | 12.5 |
| 16 | 0.000 | 5.0 |
| 17 | 0.000 | 9.9 |
| 18 | 0.000 | 10.0 |
| 19 | 0.000 | 10.6 |
| 20 | 0.000 | 10.5 |
| 21 | 0.000 | 4.3 |
| 22 | 0.000 | 7.6 |
| 23 | 0.000 | 9.4 |